# Ho3AlIn2

An optimized crystal structure of Ho3AlIn2 (PBE, Alexandria).

abc: 3.578 3.578 11.803
angles: 90.00 90.00 90.00
Sites, in units of the cell vectors:
Ho: 0.000 0.000 0.000
Ho: 0.000 0.000 0.344
Ho: 0.000 0.000 0.656
Al: 0.500 0.500 0.500
In: 0.500 0.500 0.171
In: 0.500 0.500 0.829

Results
Size of the total moment in μB/atom: 0.0000
SG: P4/mmm (123)
Crystal system: tetragonal
Calculated formation energy in eV/atom: -0.4297